Computed, not measured: a relaxed structure of BeCrNO2 at the GGA+U level of DFT.

## Properties
- space group = No. 123
- E (eV/atom) = -6.2182

Cell: 3.177 3.177 4.530 Å, 90.00 90.00 90.00°
Positions (direct):
Cr 0.500 0.500 0.500
Be 0.000 0.000 0.000
O 0.000 0.500 0.000
O 0.500 0.000 0.000
N 0.000 0.000 0.500